Entry 1:
# GGA-PBE Se2N, optimized geometry
data_Se2N
_chemical_formula_sum 'Se4 N2'
_space_group_name_H-M_alt 'C 1 m 1'
_space_group_IT_number 8
_space_group_name_Hall 'C -2y'
_cell_length_a 7.754
_cell_length_b 2.889
_cell_length_c 5.291
_cell_angle_alpha 90.00
_cell_angle_beta 102.88
_cell_angle_gamma 90.00
loop_
_atom_site_label
_atom_site_type_symbol
_atom_site_fract_x
_atom_site_fract_y
_atom_site_fract_z
Se1 Se 0.000 0.000 0.000
Se2 Se 0.157 0.500 0.557
N1 N 0.470 0.000 0.237
# total moment: 0.000 μB/cell
# polymorph energy (0 for the lowest one): 0.801 eV/atom
# raw formation energy: 0.821 eV/atom
# theoretical density: 4.94 Mg/m³
# E_tot: -4.28 eV/atom


Entry 2:
# GGA-PBE Se2N, optimized geometry
data_Se2N
_chemical_formula_sum 'Se8 N4'
_space_group_name_H-M_alt 'F m m 2'
_space_group_IT_number 42
_space_group_name_Hall 'F 2 -2'
_cell_length_a 5.754
_cell_length_b 7.331
_cell_length_c 5.957
_cell_angle_alpha 90.00
_cell_angle_beta 90.00
_cell_angle_gamma 90.00
loop_
_atom_site_label
_atom_site_type_symbol
_atom_site_fract_x
_atom_site_fract_y
_atom_site_fract_z
Se1 Se 0.000 0.217 0.000
N1 N 0.000 0.000 0.857
# total moment: 0.000 μB/cell
# polymorph energy (0 for the lowest one): 0.765 eV/atom
# raw formation energy: 0.786 eV/atom
# theoretical density: 4.55 Mg/m³
# E_tot: -4.31 eV/atom


Entry 3:
# GGA-PBE Se2N, optimized geometry
data_Se2N
_chemical_formula_sum 'Se4 N2'
_space_group_name_H-M_alt 'P 1'
_space_group_IT_number 1
_space_group_name_Hall 'P 1'
_cell_length_a 5.152
_cell_length_b 5.833
_cell_length_c 8.314
_cell_angle_alpha 69.63
_cell_angle_beta 86.90
_cell_angle_gamma 89.96
loop_
_atom_site_label
_atom_site_type_symbol
_atom_site_fract_x
_atom_site_fract_y
_atom_site_fract_z
Se1 Se 0.000 0.000 0.000
Se2 Se 0.159 0.661 0.675
Se3 Se 0.322 0.805 0.883
Se4 Se 0.838 0.351 0.792
N1 N 0.575 0.170 0.340
N2 N 0.589 0.363 0.336
# total moment: 0.000 μB/cell
# polymorph energy (0 for the lowest one): 0.000 eV/atom
# raw formation energy: 0.021 eV/atom
# theoretical density: 2.44 Mg/m³
# E_tot: -5.08 eV/atom